No. 1
This record from the Alexandria database describes a crystal of SmAl2Zn2 relaxed with PBEsol. The functional is SCAN.

Cell lengths 4.112, 4.112, 6.131 Å; angles 109.59, 109.59, 90.00 degrees
Fractional positions:
Zn1 0.390 0.390 0.780
Sm1 0.000 0.000 0.000
Al1 0.750 0.250 0.500
Al2 0.250 0.750 0.500
Zn2 0.610 0.610 0.220

Its formation energy is -0.53 eV/atom. The space-group type is I4/mmm.


No. 2
This record from the Alexandria database describes a crystal of Sm2AlZn relaxed with PBEsol. The functional is SCAN.

Cell lengths 5.110, 5.110, 5.110 Å; angles 60.00, 60.00, 60.00 degrees
Fractional positions:
Sm1 0.750 0.750 0.750
Sm2 0.250 0.250 0.250
Zn1 0.000 0.000 0.000
Al1 0.500 0.500 0.500

Its formation energy is -0.39 eV/atom. The space-group type is Fm-3m.


No. 3
This record from the Alexandria database describes a crystal of Al6SnTe10 relaxed with PBEsol. The functional is SCAN.

Cell lengths 14.454, 14.454, 17.696 Å; angles 90.00, 90.00, 120.00 degrees
Fractional positions:
Te1 0.332 0.001 0.332
Te2 0.510 0.168 0.505
Te3 0.135 0.279 0.456
Sn1 0.915 0.655 0.159
Al1 0.220 0.077 0.737
Te4 0.000 0.160 0.833
Al2 0.077 0.220 0.596
Al3 0.743 0.554 0.926
Te5 0.144 0.865 0.123
Al4 0.477 0.593 0.933
Te6 0.467 0.770 0.937
Te7 0.865 0.144 0.211
Te8 0.137 0.104 0.270
Te9 0.342 0.832 0.495
Al5 0.189 0.446 0.074
Te10 0.721 0.856 0.789
Al6 0.884 0.407 0.067
Al7 0.010 0.926 0.081
Te11 0.697 0.230 0.063
Sn2 0.655 0.915 0.175
Al8 0.424 0.746 0.583
Te12 0.057 0.522 0.458
Te13 0.770 0.467 0.396
Te14 0.749 0.000 0.000
Al9 0.116 0.523 0.600
Sn3 0.085 0.740 0.508
Al10 0.143 0.923 0.263
Te15 0.387 0.173 0.120
Al11 0.322 0.576 0.250
Te16 0.168 0.510 0.829
Te17 0.195 0.632 0.061
Al12 0.658 0.253 0.919
Al13 0.780 0.857 0.930
Te18 0.827 0.214 0.454
Te19 0.856 0.721 0.544
Te20 0.490 0.658 0.162
Te21 0.478 0.535 0.792
Te22 0.535 0.478 0.542
Te23 0.230 0.697 0.270
Te24 0.420 0.337 0.328
Al14 0.407 0.884 0.266
Te25 0.337 0.420 0.006
Al15 0.990 0.917 0.586
Al16 0.811 0.257 0.593
Al17 0.083 0.074 0.919
Te26 0.613 0.786 0.546
Al18 0.678 0.254 0.417
Al19 0.923 0.143 0.070
Al20 0.253 0.658 0.415
Te27 0.863 0.967 0.397
Te28 0.840 0.840 0.167
Te29 0.999 0.331 0.665
Te30 0.000 0.749 0.333
Te31 0.303 0.533 0.604
Al21 0.554 0.743 0.407
Te32 0.786 0.613 0.787
Al22 0.576 0.322 0.084
Te33 0.668 0.669 0.335
Te34 0.580 0.918 0.339
Al23 0.917 0.990 0.747
Te35 0.160 0.000 0.500
Al24 0.254 0.678 0.916
Te36 0.832 0.342 0.838
Al25 0.405 0.747 0.081
Te37 0.805 0.438 0.605
Te38 0.896 0.033 0.603
Te39 0.533 0.303 0.730
Te40 0.001 0.332 0.002
Sn4 0.345 0.260 0.492
Al26 0.747 0.405 0.252
Te41 0.562 0.368 0.939
Te42 0.033 0.896 0.730
Al27 0.257 0.811 0.741
Al28 0.593 0.477 0.400
Sn5 0.740 0.085 0.825
Te43 0.251 0.251 0.667
Sn6 0.260 0.345 0.841
Al29 0.857 0.780 0.404
Te44 0.082 0.663 0.672
Te45 0.331 0.999 0.668
Al30 0.446 0.189 0.259
Al31 0.595 0.342 0.585
Te46 0.368 0.562 0.395
Te47 0.943 0.465 0.208
Te48 0.438 0.805 0.728
Te49 0.173 0.387 0.213
Te50 0.104 0.137 0.063
Te51 0.465 0.943 0.125
Te52 0.658 0.490 0.171
Te53 0.214 0.827 0.880
Te54 0.522 0.057 0.875
Te55 0.632 0.195 0.272
Al32 0.746 0.424 0.750
Te56 0.918 0.580 0.994
Te57 0.279 0.135 0.877
Al33 0.074 0.083 0.414
Al34 0.926 0.010 0.253
Te58 0.967 0.863 0.937
Al35 0.342 0.595 0.748
Te59 0.669 0.668 0.998
Te60 0.663 0.082 0.661
Al36 0.523 0.116 0.734

The value obtained for the energy relative to the elements, uncorrected is -7.852 eV/f.u. The space-group type is P3_121.


| no. | total DFT energy (no corrections) (eV/atom) |
| --- | --- |
| 1 | -17.92 |
| 2 | -27.92 |
| 3 | -27.22 |